Computed, not measured: a relaxed structure of Ba2LiFe at the PBE level of DFT.

Properties
**Offset from the most stable computed form**: 0.0 kJ/mol of atoms
**ΔH_f (0 K)**: 446.3 meV/atom
**SG**: Cmmm (65)

Geometry as extended XYZ:
```
4
Lattice="4.016 0.397 0.000 -0.390 4.016 0.000 0.000 0.000 8.798" Properties=species:S:1:pos:R:3 pbc="T T T"
Ba 0.000 0.000 4.093
Ba 0.000 0.000 0.306
Li 1.813 2.206 6.598
Fe 1.813 2.206 2.199
```

Computed, not measured: a relaxed structure of Mg5Pd2RhAu2 at the PBE level of DFT.

Properties
**ΔH_f (0 K)**: -474.7 meV/atom
**SG**: P4/mbm (127)

Geometry as extended XYZ:
```
20
Lattice="-2.837 0.914 -1.053 -2.813 -10.230 -1.301 -3.785 -0.230 9.994" Properties=species:S:1:pos:R:3 pbc="T T T"
Au -1.746 -1.625 3.292
Au -2.403 -6.694 0.662
Au -4.195 -3.766 8.031
Au -4.852 -8.835 5.402
Pd -2.839 -1.616 6.244
Pd -3.759 -8.845 2.449
Pd -5.052 -6.780 7.724
Pd -1.546 -3.681 0.970
Rh -3.299 -5.230 4.347
Rh 0.000 0.000 0.000
Mg -4.655 -6.313 2.315
Mg -4.990 -1.074 7.763
Mg -7.090 -8.403 7.061
Mg -3.769 -3.402 2.456
Mg -3.311 0.342 4.470
Mg -4.780 -3.233 5.325
Mg -2.825 -4.658 -1.177
Mg -2.345 -1.143 0.579
Mg -5.666 -6.144 5.184
Mg -4.445 -8.472 -0.123
```

Computed, not measured: a relaxed structure of YInSe2 at the PBE level of DFT.

Properties
**Raw formation energy**: -1187 meV/atom
**SG**: Pm (6)

Geometry as extended XYZ:
```
4
Lattice="-1.935 1.788 -3.407 -3.405 0.435 2.162 0.023 5.315 2.777" Properties=species:S:1:pos:R:3 pbc="T T T"
Se -1.891 2.751 -0.204
Se 0.004 4.604 2.414
Y -2.412 2.707 2.791
In -2.686 5.664 1.776
```

Computed, not measured: a relaxed structure of CrPC2 at the PBE level of DFT.

Properties
**ΔH_f (0 K)**: 524.7 meV/atom
**SG**: I-42d (122)

Geometry as extended XYZ:
```
8
Lattice="4.509 0.000 0.000 0.000 4.509 0.000 2.255 2.255 4.000" Properties=species:S:1:pos:R:3 pbc="T T T"
Cr 4.509 2.255 2.000
Cr 0.000 0.000 0.000
C 1.283 3.382 1.000
C 3.227 1.127 1.000
C 3.382 3.537 3.000
C 5.637 5.481 3.000
P 2.255 4.509 2.000
P 2.255 2.255 0.000
```

Computed, not measured: a relaxed structure of Sc2GaBr at the PBE level of DFT.

Properties
**Offset from the most stable computed form**: 0.0 kJ/mol of atoms
**Raw formation energy**: -527 meV/atom
**SG**: R-3m (166)

Geometry as extended XYZ:
```
4
Lattice="2.053 0.000 9.027 -1.026 1.778 9.027 -1.026 -1.778 9.027" Properties=species:S:1:pos:R:3 pbc="T T T"
Br 0.000 0.000 0.000
Sc 0.000 0.000 2.583
Sc 0.000 0.000 24.499
Ga 0.000 0.000 13.541
```

Computed, not measured: a relaxed structure of GaGe2Br at the PBE level of DFT.

Properties
**Offset from the most stable computed form**: 2.4 kJ/mol of atoms
**Raw formation energy**: 348 meV/atom
**SG**: Fm-3m (225)

Geometry as extended XYZ:
```
4
Lattice="0.000 3.498 3.498 3.498 0.000 3.498 3.498 3.498 0.000" Properties=species:S:1:pos:R:3 pbc="T T T"
Ge 1.749 1.749 1.749
Ge 5.247 5.247 5.247
Br 3.498 3.498 3.498
Ga 0.000 0.000 0.000
```

Computed, not measured: a relaxed structure of ZnRuRh at the PBE level of DFT.

Properties
**Offset from the most stable computed form**: 3.2 kJ/mol of atoms
**ΔH_f (0 K)**: -41.4 meV/atom
**SG**: Amm2 (38)

Geometry as extended XYZ:
```
6
Lattice="2.738 0.000 0.000 -1.369 2.371 0.000 0.000 0.000 12.977" Properties=species:S:1:pos:R:3 pbc="T T T"
Ru 1.369 0.532 0.000
Ru 0.000 1.313 6.488
Rh 1.369 0.523 4.322
Rh 1.369 0.523 8.655
Zn 0.000 1.321 2.156
Zn 0.000 1.321 10.821
```

Computed, not measured: a relaxed structure of PmNd2PaSb5 at the PBE level of DFT.

Properties
**Raw formation energy**: -223 meV/atom
**SG**: P4/mmm (123)

Geometry as extended XYZ:
```
9
Lattice="-1.267 -4.596 -2.679 2.770 1.781 -4.366 9.793 -5.108 4.130" Properties=species:S:1:pos:R:3 pbc="T T T"
Sb 2.441 -1.273 1.029
Sb 0.751 -1.408 -3.522
Sb 6.281 -1.664 -0.118
Sb 7.352 -3.835 3.101
Sb 4.263 -4.852 0.726
Nd 7.872 -5.122 -0.519
Nd 3.423 -2.801 -2.396
Pm 0.000 0.000 0.000
Pa 4.896 -2.554 2.065
```

Computed, not measured: a relaxed structure of Sc2Be2Re at the PBE level of DFT.

Properties
**ΔH_f (0 K)**: 15.6 meV/atom
**SG**: P4/mbm (127)

Geometry as extended XYZ:
```
10
Lattice="-2.267 -5.254 -2.702 0.609 -3.086 5.491 -3.523 1.023 0.966" Properties=species:S:1:pos:R:3 pbc="T T T"
Be -1.611 -6.533 1.044
Be -0.322 -4.695 3.799
Be -0.047 -1.808 1.745
Be -1.336 -3.646 -1.011
Sc -2.359 -1.711 0.660
Sc -3.415 -4.730 0.006
Sc -2.823 -5.606 3.094
Sc -1.767 -2.587 3.749
Re 0.000 0.000 0.000
Re -0.829 -4.170 1.394
```

Computed, not measured: a relaxed structure of CeSiIrRu at the PBE level of DFT.

Properties
**Raw formation energy**: -438 meV/atom
**SG**: Amm2 (38)

Geometry as extended XYZ:
```
4
Lattice="-1.675 3.608 1.767 -2.341 0.366 -2.964 -1.940 -2.679 3.630" Properties=species:S:1:pos:R:3 pbc="T T T"
Si -1.808 -0.329 -1.041
Ir -3.845 -0.610 2.961
Ru -3.859 -1.975 0.375
Ce -2.140 0.758 1.784
```

Computed, not measured: a relaxed structure of Sm2Dy5Tm5 at the PBE level of DFT.

Properties
**ΔH_f (0 K)**: 20.5 meV/atom
**SG**: C2/m (12)

Geometry as extended XYZ:
```
12
Lattice="-2.682 -4.144 -0.787 4.475 -1.098 6.410 -9.406 5.759 1.727" Properties=species:S:1:pos:R:3 pbc="T T T"
Dy -0.781 -0.144 3.418
Dy -3.656 1.821 2.867
Dy 0.000 0.000 0.000
Dy -3.958 -1.305 4.483
Dy -6.832 0.661 3.931
Tm -0.301 -3.126 1.616
Tm -7.312 3.643 5.734
Tm -3.166 -1.164 1.046
Tm -4.447 1.681 6.304
Tm -6.044 0.807 0.470
Sm -6.534 3.793 2.293
Sm -1.079 -3.276 5.056
```

| no. | size of the total moment (μB/f.u.) | V (Å³/cell) | density of states at the Fermi level (states/eV/atom) |
| --- | --- | --- | --- |
| 1 | 1.99 | 143 | 1.51 |
| 2 | 0.00 | 361 | 0.22 |
| 3 | 0.00 | 99 | 0.02 |
| 4 | 0.00 | 81 | 0.84 |
| 5 | 0.40 | 99 | 0.85 |
| 6 | 0.00 | 86 | 0.70 |
| 7 | 0.00 | 84 | 1.20 |
| 8 | 0.00 | 353 | 0.67 |
| 9 | 0.00 | 152 | 0.98 |
| 10 | 0.00 | 75 | 0.84 |
| 11 | 0.00 | 374 | 1.29 |